The following is a GGA-PBE calculation of an optimized crystal structure of AlSnBi2O6, from the Alexandria database.

Structure (CIF):
```
data_AlSnBi2O6
_space_group_name_H-M_alt 'P 1'
_space_group_IT_number 1
_space_group_name_Hall 'P 1'
_cell_length_a 5.481
_cell_length_b 6.014
_cell_length_c 8.035
_cell_angle_alpha 90.00
_cell_angle_beta 90.57
_cell_angle_gamma 90.00
loop_
_atom_site_label
_atom_site_type_symbol
_atom_site_fract_x
_atom_site_fract_y
_atom_site_fract_z
O1 O 0.196 0.168 0.031
O2 O 0.816 0.770 0.567
O3 O 0.396 0.951 0.771
O4 O 0.304 0.668 0.469
O5 O 0.896 0.549 0.271
O6 O 0.696 0.332 0.531
O7 O 0.604 0.049 0.229
O8 O 0.804 0.832 0.969
O9 O 0.184 0.230 0.433
O10 O 0.684 0.270 0.933
O11 O 0.104 0.451 0.729
O12 O 0.316 0.730 0.067
Sn1 Sn 0.000 0.500 0.000
Sn2 Sn 0.500 0.000 0.500
Bi1 Bi 0.511 0.553 0.732
Bi2 Bi 0.011 0.947 0.232
Bi3 Bi 0.989 0.053 0.768
Bi4 Bi 0.489 0.447 0.268
Al1 Al 0.500 0.000 0.000
Al2 Al 0.000 0.500 0.500
```

The calculation puts the uncorrected formation energy at -1.5584 eV per atom. The crystal system is monoclinic. The calculated volume comes out at 13.24 Å³ per atom. The calculated total energy comes out at -6.08 eV/atom. As for the space group: P2_1/c.


The following is a GGA-PBE calculation of an optimized crystal structure of Sr6Al12Bi2O27, from the Alexandria database.

Structure (CIF):
```
data_Sr6Al12Bi2O27
_space_group_name_H-M_alt 'P 1'
_space_group_IT_number 1
_space_group_name_Hall 'P 1'
_cell_length_a 7.222
_cell_length_b 10.640
_cell_length_c 10.640
_cell_angle_alpha 115.04
_cell_angle_beta 103.08
_cell_angle_gamma 103.08
loop_
_atom_site_label
_atom_site_type_symbol
_atom_site_fract_x
_atom_site_fract_y
_atom_site_fract_z
Al1 Al 0.612 0.960 0.273
Al2 Al 0.565 0.541 0.300
Al3 Al 0.652 0.313 0.040
Al4 Al 0.439 0.459 0.701
Al5 Al 0.383 0.043 0.723
Al6 Al 0.659 0.277 0.320
Al7 Al 0.265 0.700 0.241
Al8 Al 0.339 0.680 0.957
Al9 Al 0.024 0.759 0.459
Al10 Al 0.980 0.242 0.541
Al11 Al 0.339 0.727 0.687
Al12 Al 0.738 0.299 0.758
O1 O 0.942 0.255 0.704
O2 O 0.579 0.825 0.090
O3 O 0.124 0.651 0.522
O4 O 0.320 0.555 0.260
O5 O 0.230 0.729 0.824
O6 O 0.470 0.602 0.653
O7 O 0.919 0.903 0.819
O8 O 0.473 0.871 0.349
O9 O 0.501 0.095 0.271
O10 O 0.178 0.639 0.048
O11 O 0.868 0.052 0.398
O12 O 0.753 0.265 0.175
O13 O 0.879 0.351 0.481
O14 O 0.060 0.740 0.294
O15 O 0.398 0.519 0.871
O16 O 0.539 0.409 0.361
O17 O 0.406 0.176 0.905
O18 O 0.816 0.347 0.948
O19 O 0.016 0.915 0.097
O20 O 0.687 0.450 0.745
O21 O 0.602 0.478 0.129
O22 O 0.527 0.129 0.649
O23 O 0.489 0.910 0.735
O24 O 0.131 0.952 0.591
O25 O 0.765 0.706 0.445
O26 O 0.237 0.296 0.550
O27 O 0.100 0.181 0.085
Sr1 Sr 0.160 0.399 0.357
Sr2 Sr 0.803 0.643 0.042
Sr3 Sr 0.761 0.958 0.601
Sr4 Sr 0.837 0.607 0.640
Sr5 Sr 0.229 0.032 0.393
Sr6 Sr 0.197 0.360 0.968
Bi1 Bi 0.224 0.000 0.000
Bi2 Bi 0.804 0.000 0.000
```

The calculation puts the uncorrected formation energy at -2.8854 eV per atom. The crystal system is trigonal. The calculated volume comes out at 14.29 Å³ per atom. The calculated total energy comes out at -7.07 eV/atom. As for the space group: R3.


The following is a GGA-PBE calculation of an optimized crystal structure of SrAlBi2O8, from the Alexandria database.

Structure (CIF):
```
data_SrAlBi2O8
_space_group_name_H-M_alt 'P 1'
_space_group_IT_number 1
_space_group_name_Hall 'P 1'
_cell_length_a 4.964
_cell_length_b 4.981
_cell_length_c 6.861
_cell_angle_alpha 90.00
_cell_angle_beta 90.00
_cell_angle_gamma 84.63
loop_
_atom_site_label
_atom_site_type_symbol
_atom_site_fract_x
_atom_site_fract_y
_atom_site_fract_z
Al1 Al 0.000 0.000 0.000
O1 O 0.187 0.807 0.202
O2 O 0.813 0.193 0.798
O3 O 0.330 0.321 0.500
O4 O 0.292 0.287 0.000
O5 O 0.708 0.713 0.000
O6 O 0.670 0.679 0.500
O7 O 0.187 0.807 0.798
O8 O 0.813 0.193 0.202
Bi1 Bi 0.500 0.500 0.758
Bi2 Bi 0.500 0.500 0.242
Sr1 Sr 0.000 0.000 0.500
```

The calculation puts the uncorrected formation energy at -1.4074 eV per atom. The crystal system is monoclinic. The calculated volume comes out at 14.08 Å³ per atom. The calculated total energy comes out at -5.81 eV/atom. As for the space group: P2/m.


The following is a GGA-PBE calculation of an optimized crystal structure of SrAlBiO4, from the Alexandria database.

Structure (CIF):
```
data_SrAlBiO4
_space_group_name_H-M_alt 'P 1'
_space_group_IT_number 1
_space_group_name_Hall 'P 1'
_cell_length_a 5.742
_cell_length_b 5.742
_cell_length_c 7.416
_cell_angle_alpha 90.00
_cell_angle_beta 90.00
_cell_angle_gamma 114.13
loop_
_atom_site_label
_atom_site_type_symbol
_atom_site_fract_x
_atom_site_fract_y
_atom_site_fract_z
O1 O 0.240 0.760 0.447
O2 O 0.795 0.772 0.250
O3 O 0.772 0.795 0.750
O4 O 0.205 0.228 0.750
O5 O 0.240 0.760 0.053
O6 O 0.760 0.240 0.553
O7 O 0.228 0.205 0.250
O8 O 0.760 0.240 0.947
Al1 Al 0.140 0.860 0.250
Al2 Al 0.860 0.140 0.750
Bi1 Bi 0.831 0.169 0.250
Bi2 Bi 0.169 0.831 0.750
Sr1 Sr 0.500 0.500 0.500
Sr2 Sr 0.500 0.500 0.000
```

The calculation puts the uncorrected formation energy at -2.2913 eV per atom. The crystal system is orthorhombic. The calculated volume comes out at 15.94 Å³ per atom. The calculated total energy comes out at -6.45 eV/atom. As for the space group: Cmcm.